# Ag3Sn2

Ag3Sn2 after structural relaxation (PBE, Alexandria via LeMat-Bulk).

Cell lengths 6.2105, 6.2105, 6.2105 Å; angles 80.48, 80.48, 80.48 degrees
Element x y z (fractional)
Ag  0.0546  0.7500  0.4454
Ag  0.2500  0.5546  0.9454
Ag  0.4454  0.0546  0.7500
Ag  0.5546  0.9454  0.2500
Ag  0.7500  0.4454  0.0546
Ag  0.9454  0.2500  0.5546
Sn  0.1202  0.1202  0.1202
Sn  0.3798  0.3798  0.3798
Sn  0.6202  0.6202  0.6202
Sn  0.8798  0.8798  0.8798

Computed properties:
E_tot, Ry per atom: -0.2312
Space-group type: R-3c (167)
Polymorph energy (0 for the lowest one), eV/f.u.: 0.46
Crystal system: trigonal